Entry 1:
CaCS2N (PBE-GGA, optimized geometry); space group = P4/mmm (123); raw formation energy = 2.162 eV/atom; magnetic moment = 1.84 μB per formula unit
1.0
5.436 0.000 0.000
0.000 5.436 0.000
0.000 0.000 4.580
Ca C S N
1 1 2 1
direct
0.000 0.000 0.000
0.500 0.500 0.500
0.000 0.500 0.000
0.500 0.000 0.000
0.000 0.000 0.500


Entry 2:
Hg2Te (PBE-GGA, optimized geometry); space group = P6/mmm (191); raw formation energy = 0.045 eV/atom; magnetic moment = 0.00 μB per formula unit
1.0
6.039 0.000 0.000
-3.019 5.230 0.000
0.000 0.000 2.913
Hg Te
2 1
direct
0.333 0.667 0.000
0.667 0.333 0.000
0.000 0.000 0.000


Entry 3:
Li4Ac3Ga4 (PBE-GGA, optimized geometry); ΔE_f = -0.31 eV/atom; space group = Immm (71); magnetic moment = 0.00 μB per formula unit
1.0
-1.927 2.423 14.732
1.927 -2.423 14.732
1.927 2.423 -14.732
Li Ac Ga
4 3 4
direct
0.094 0.094 0.000
0.254 0.754 0.500
0.746 0.246 0.500
0.906 0.906 0.000
0.000 0.500 0.500
0.354 0.354 0.000
0.646 0.646 0.000
0.188 0.188 0.000
0.452 0.952 0.500
0.548 0.048 0.500
0.812 0.812 0.000


Entry 4:
RbLiCuTe2 (PBE-GGA, optimized geometry); space group = P4/mmm (123); raw formation energy = -0.078 eV/atom; magnetic moment = 0.00 μB per formula unit
1.0
5.360 0.000 0.000
0.000 5.360 0.000
0.000 0.000 4.946
Rb Li Cu Te
1 1 1 2
direct
0.000 0.000 0.000
0.500 0.500 0.500
0.500 0.500 0.000
0.000 0.500 0.500
0.500 0.000 0.500


Entry 5:
Sc2TaAs (PBE-GGA, optimized geometry); ΔE_f = -0.19 eV/atom; space group = C2/m (12); magnetic moment = 0.00 μB per formula unit
1.0
4.851 -1.723 0.000
4.851 1.723 0.000
-1.463 0.000 4.611
Sc Ta As
2 1 1
direct
0.228 0.228 0.227
0.772 0.772 0.773
0.000 0.000 0.500
0.500 0.500 0.000


Entry 6:
SmHo8Sc3 (PBE-GGA, optimized geometry); ΔE_f = 0.06 eV/atom; space group = P1 (1); magnetic moment = 0.01 μB per formula unit
1.0
6.410 0.000 0.000
-2.777 7.716 0.000
-2.765 -2.832 7.192
Sm Ho Sc
1 8 3
direct
0.000 0.000 0.000
0.003 0.668 0.665
0.004 0.085 0.585
0.008 0.414 0.929
0.498 0.636 0.368
0.503 0.964 0.704
0.504 0.229 0.442
0.506 0.301 0.034
0.997 0.739 0.257
0.003 0.342 0.331
0.493 0.562 0.771
0.508 0.896 0.105